No. 1
## RbTlIn2Ni (PBE)

Data for a relaxed structure of RbTlIn2Ni.

```
5
Lattice="5.1646 0.0000 0.0000 0.0000 5.1646 0.0000 0.0000 0.0000 5.3518" Properties=species:S:1:pos:R:3 pbc="T T T"
Rb 2.5823 2.5823 2.6759
Tl 0.0000 0.0000 2.6759
In 2.5823 0.0000 0.0000
Ni 0.0000 0.0000 0.0000
In 0.0000 2.5823 0.0000
```


No. 2
## RbZnIn2Ni (PBE)

Data for a relaxed structure of RbZnIn2Ni.

```
5
Lattice="-2.7925 -2.5698 -3.3759 3.7464 -3.3904 -0.5180 -1.9622 -2.7343 3.7046" Properties=species:S:1:pos:R:3 pbc="T T T"
Zn -0.9811 -1.3671 1.8523
In 1.8732 -1.6952 -0.2590
Rb -0.5042 -4.3473 -0.0947
Ni 0.0000 0.0000 0.0000
In -1.3962 -1.2849 -1.6879
```


No. 3
## RbZrIn2Ni (PBE)

Data for a relaxed structure of RbZrIn2Ni.

```
5
Lattice="5.1771 0.0000 0.0000 0.0000 5.0167 0.0000 0.0000 0.0000 5.1771" Properties=species:S:1:pos:R:3 pbc="T T T"
In 0.0000 0.0000 2.5885
In 2.5885 0.0000 0.0000
Rb 2.5885 2.5084 2.5885
Zr 0.0000 2.5084 0.0000
Ni 0.0000 0.0000 0.0000
```


No. 4
## In2ReNi (PBE)

Data for a relaxed structure of In2ReNi.

```
4
Lattice="-2.4071 -1.3350 1.2979 -1.3840 -0.5430 -3.1253 2.9385 -5.6150 -0.3258" Properties=species:S:1:pos:R:3 pbc="T T T"
Ni -1.1609 -2.3427 -0.9952
In 1.4336 -2.7394 -0.1589
Re 0.3083 -5.1502 -1.1581
In 0.0356 -0.0681 -0.0040
```


No. 5
## In2ReNi (PBE)

Data for a relaxed structure of In2ReNi.

```
4
Lattice="9.2107 -0.0207 -0.0122 8.7268 2.9465 -0.0122 8.7268 1.4234 2.5799" Properties=species:S:1:pos:R:3 pbc="T T T"
In 0.1629 0.0266 0.0156
Ni 13.1818 2.1501 1.2634
Re 20.2643 3.3053 1.9422
In 6.3874 1.0418 0.6122
```


No. 6
## InReNi2 (PBE)

Data for a relaxed structure of InReNi2.

```
4
Lattice="2.7644 0.0000 0.0000 0.0000 4.5135 0.0000 0.0000 0.0000 4.5135" Properties=species:S:1:pos:R:3 pbc="T T T"
In 1.3822 0.0000 2.2567
Ni 0.0000 2.2567 2.2567
Ni 0.0000 0.0000 0.0000
Re 1.3822 2.2567 0.0000
```


No. 7
## InReNi2 (PBE)

Data for a relaxed structure of InReNi2.

```
4
Lattice="8.6481 -0.0108 -0.0063 8.1951 2.7623 -0.0063 8.1951 1.3387 2.4162" Properties=species:S:1:pos:R:3 pbc="T T T"
In 18.7788 3.0677 1.8026
Re 6.2596 1.0226 0.6009
Ni 12.6149 2.0607 1.2109
Ni 24.9427 4.0746 2.3943
```


No. 8
## InReNi (PBE)

Data for a relaxed structure of InReNi.

```
3
Lattice="-2.6282 1.1261 0.0273 0.6047 -2.2590 1.6455 1.7892 4.0569 4.9118" Properties=species:S:1:pos:R:3 pbc="T T T"
Ni -0.9299 1.4050 2.2705
In 0.0225 0.0511 0.0619
Re 0.6731 1.4679 4.2522
```


No. 9
## InReNi2 (PBE)

Data for a relaxed structure of InReNi2.

```
4
Lattice="3.6090 0.0000 0.0000 0.0000 2.7663 0.0403 0.0000 2.6936 5.7732" Properties=species:S:1:pos:R:3 pbc="T T T"
Ni 0.0000 2.7331 2.7244
In 1.8045 4.0949 4.3601
Ni 0.0000 2.7632 0.2226
Re 1.8045 1.3650 1.4534
```


No. 10
## In2ReNi (PBE)

Data for a relaxed structure of In2ReNi.

```
4
Lattice="4.7336 -0.0022 -0.0076 3.8587 2.7418 -0.0076 1.0302 0.3285 5.2868" Properties=species:S:1:pos:R:3 pbc="T T T"
Re 7.2168 2.3011 3.9536
In 8.5389 2.7226 0.0328
Ni 2.4056 0.7670 1.3179
In 4.8645 1.5510 2.5876
```


No. 11
## InReNi (PBE)

Data for a relaxed structure of InReNi.

```
3
Lattice="-5.0920 -2.1826 2.4539 -4.1030 -4.3622 0.9221 0.8971 -1.2662 2.3805" Properties=species:S:1:pos:R:3 pbc="T T T"
Re -2.2890 -2.9326 2.6948
In 0.8291 -1.3017 2.3872
Ni -5.9409 -4.8428 3.0551
```


No. 12
## InRe4Ni (PBE)

Data for a relaxed structure of InRe4Ni.

```
6
Lattice="-2.2027 -4.2028 2.1562 0.4864 -0.8613 5.1172 -4.1266 0.5406 3.1375" Properties=species:S:1:pos:R:3 pbc="T T T"
Re -4.2642 -1.4198 5.4748
Re -1.9407 -2.1260 6.4720
Ni 0.0000 0.0000 0.0000
In -4.3821 -3.3926 7.8082
Re -3.2951 -3.8091 4.9806
Re -2.1857 -1.6922 3.8945
```


No. 13
## In2ReNi (PBE)

Data for a relaxed structure of In2ReNi.

```
4
Lattice="4.4617 0.0000 0.0000 0.0000 4.4608 0.0000 0.0000 0.0000 3.3766" Properties=species:S:1:pos:R:3 pbc="T T T"
Ni 2.2308 0.0000 1.6883
In 2.2308 2.2304 0.0000
Re 0.0000 2.2304 1.6883
In 0.0000 0.0000 0.0000
```


No. 14
## In2ReNi (PBE)

Data for a relaxed structure of In2ReNi.

```
4
Lattice="2.8959 0.0527 0.0000 -0.9780 2.7263 0.0000 0.0000 0.0000 8.5783" Properties=species:S:1:pos:R:3 pbc="T T T"
Ni 0.9590 1.3895 2.1446
In 0.0000 0.0000 0.1544
In 0.0000 0.0000 4.1347
Re 0.9590 1.3895 6.4337
```


No. 15
## InReNi4 (PBE)

Data for a relaxed structure of InReNi4.

```
6
Lattice="0.0000 3.3860 3.3860 3.3860 0.0000 3.3860 3.3860 3.3860 0.0000" Properties=species:S:1:pos:R:3 pbc="T T T"
Ni 4.2278 4.2278 2.5441
Ni 2.5441 4.2278 4.2278
In 0.0000 0.0000 0.0000
Re 5.0789 5.0789 5.0789
Ni 4.2278 2.5441 4.2278
Ni 2.5441 2.5441 2.5441
```


No. 16
## InReNi2 (PBE)

Data for a relaxed structure of InReNi2.

```
4
Lattice="4.4618 0.0011 -0.0003 3.6069 2.6265 -0.0003 0.6604 0.2151 5.0140" Properties=species:S:1:pos:R:3 pbc="T T T"
Ni 0.6607 0.2152 4.8085
In 2.1823 0.7107 1.2534
Ni 4.3642 1.4212 2.7122
Re 6.5468 2.1320 3.7601
```


No. 17
## In2ReNi (PBE)

Data for a relaxed structure of In2ReNi.

```
4
Lattice="5.7918 0.0153 0.0027 3.1800 4.8407 -0.0027 -3.9351 -3.4456 2.4875" Properties=species:S:1:pos:R:3 pbc="T T T"
In 2.9202 -0.6370 1.2451
Re 2.1604 2.0712 1.2424
In 0.1079 0.0584 0.0000
Ni 4.3342 2.3459 0.0000
```


No. 18
## In2ReNi (PBE)

Data for a relaxed structure of In2ReNi.

```
4
Lattice="4.5959 0.0000 0.0000 2.2979 3.9801 0.0000 2.2979 1.3267 3.7525" Properties=species:S:1:pos:R:3 pbc="T T T"
Re 6.8938 3.9801 2.8144
In 2.2979 1.3267 0.9381
Ni 4.5959 2.6534 1.8763
In 0.0000 0.0000 0.0000
```


No. 19
## InReNi2 (PBE)

Data for a relaxed structure of InReNi2.

```
4
Lattice="2.8599 0.0000 0.0000 0.0000 2.8599 0.0000 0.0000 0.0000 6.9654" Properties=species:S:1:pos:R:3 pbc="T T T"
Re 0.0000 0.0000 3.1681
Ni 0.0000 0.0000 0.2205
In 1.4300 1.4300 5.3749
Ni 1.4300 1.4300 1.6847
```


No. 20
## InReNi2 (PBE)

Data for a relaxed structure of InReNi2.

```
4
Lattice="-4.0270 -2.5639 0.5486 0.7821 -4.7194 -0.4548 2.0934 3.4658 2.5879" Properties=species:S:1:pos:R:3 pbc="T T T"
In -1.7780 -1.3699 1.5917
Ni 0.0000 0.0000 0.0000
Ni 0.6265 -2.4476 1.0900
Re -1.6225 -3.6417 0.0469
```


No. 21
## InReNi2 (PBE)

Data for a relaxed structure of InReNi2.

```
4
Lattice="-1.6015 -3.6792 1.0148 2.5031 -0.9485 0.5114 0.8493 1.0145 5.0185" Properties=species:S:1:pos:R:3 pbc="T T T"
Ni 1.3221 0.8238 5.0733
Re 1.5422 0.0062 2.4562
In 1.8530 -1.7856 4.8910
Ni -0.4409 -1.6100 1.9077
```


No. 22
## In2ReNi (PBE)

Data for a relaxed structure of In2ReNi.

```
4
Lattice="-4.4719 -1.6607 -1.1442 0.3772 -0.8209 4.8217 -1.1146 2.6326 0.5354" Properties=species:S:1:pos:R:3 pbc="T T T"
Ni -2.7933 0.4859 -0.3044
Re -0.3687 0.9058 2.6785
In 0.0000 0.0000 0.0000
In -2.0473 -1.2408 1.8387
```


No. 23
## In2ReNi2 (PBE)

Data for a relaxed structure of In2ReNi2.

```
10
Lattice="-6.4423 1.6852 -2.8970 -3.2739 -1.8213 6.2209 0.2901 2.7616 0.9612" Properties=species:S:1:pos:R:3 pbc="T T T"
Ni -5.2998 -0.9619 4.3636
Ni -7.6895 0.3432 1.3351
In -6.9016 1.0126 3.6655
Re -4.8581 -0.0680 1.6620
Re 0.0000 0.0000 0.0000
Ni -4.4164 0.8259 -1.0396
In -2.5244 1.6129 0.6197
In -3.1836 0.4465 4.1698
In -6.2424 2.1790 0.1153
Ni -2.0267 -0.4793 1.9888
```


No. 24
## InReNi2 (PBE)

Data for a relaxed structure of InReNi2.

```
4
Lattice="-2.9052 -3.2254 0.1775 1.3295 -4.1327 -0.1680 -0.2485 -2.5074 3.5392" Properties=species:S:1:pos:R:3 pbc="T T T"
Re -1.3682 -7.3992 2.6615
In -0.9122 -4.9328 1.7744
Ni -0.4561 -2.4664 0.8872
Ni 0.0000 0.0000 0.0000
```


No. 25
## In2ReNi (PBE)

Data for a relaxed structure of In2ReNi.

```
4
Lattice="4.1956 0.0000 0.0000 0.0000 3.4209 0.2121 0.0000 1.4020 5.1856" Properties=species:S:1:pos:R:3 pbc="T T T"
Ni 0.0000 3.0507 2.7749
In 0.0000 4.6269 5.0606
Re 2.0978 2.9756 4.0049
In 2.0978 1.4040 1.6539
```


No. 26
## InReNi2 (PBE)

Data for a relaxed structure of InReNi2.

```
4
Lattice="4.6290 0.0114 -0.0040 3.8035 2.6384 -0.0040 0.8919 0.2803 4.6835" Properties=species:S:1:pos:R:3 pbc="T T T"
Re 4.6340 1.4562 2.5781
Ni 0.9454 0.2971 4.6647
In 2.3391 0.7350 1.0332
Ni 6.9598 2.1870 3.4210
```


No. 27
## In2ReNi (PBE)

Data for a relaxed structure of In2ReNi.

```
8
Lattice="4.0162 0.0000 0.0000 0.0000 4.0162 0.0000 2.0081 2.0081 9.3673" Properties=species:S:1:pos:R:3 pbc="T T T"
Ni 2.0081 4.0162 4.6837
In 3.0023 1.0040 2.3418
In 5.0202 5.0104 7.0255
Ni 2.0081 2.0081 0.0000
Re 4.0162 2.0081 4.6837
In 1.0139 3.0121 2.3418
Re 0.0000 0.0000 0.0000
In 3.0121 3.0220 7.0255
```


No. 28
## In2ReNi (PBE)

Data for a relaxed structure of In2ReNi.

```
4
Lattice="2.9045 0.0000 0.0000 0.0000 4.1067 0.0000 0.0000 0.0000 5.8329" Properties=species:S:1:pos:R:3 pbc="T T T"
Ni 0.0000 0.0000 2.9426
In 0.0000 0.0000 5.6113
Re 1.4523 2.0533 4.3710
In 1.4523 2.0533 1.6574
```


No. 29
## In2ReNi (PBE)

Data for a relaxed structure of In2ReNi.

```
4
Lattice="-5.1912 0.7595 -0.3900 -3.0734 -3.2940 2.7167 4.2193 2.9766 1.0075" Properties=species:S:1:pos:R:3 pbc="T T T"
In 0.0000 0.0000 0.0000
Re -2.5521 1.2344 0.8905
In -1.4932 -0.7924 2.4438
Ni -4.1323 -1.2673 1.1634
```


No. 30
## In2ReNi (PBE)

Data for a relaxed structure of In2ReNi.

```
4
Lattice="2.9254 0.0000 0.0000 0.0000 2.9254 0.0000 0.0000 0.0000 8.4382" Properties=species:S:1:pos:R:3 pbc="T T T"
Ni 0.0000 0.0000 4.4734
In 1.4627 1.4627 2.5575
Re 1.4627 1.4627 5.9638
In 0.0000 0.0000 8.1009
```


| no. | E_form (eV per atom) | V (Å³/f.u.) |
| --- | --- | --- |
| 1 | -0.009 | 142.7 |
| 2 | -0.010 | 129.1 |
| 3 | 0.297 | 134.5 |
| 4 | 0.394 | 66.8 |
| 5 | 0.394 | 70.8 |
| 6 | 0.231 | 56.3 |
| 7 | 0.258 | 58.1 |
| 8 | 0.340 | 46.9 |
| 9 | 0.147 | 57.2 |
| 10 | 0.480 | 68.7 |
| 11 | 0.266 | 46.2 |
| 12 | 0.640 | 100.1 |
| 13 | 0.359 | 67.2 |
| 14 | 0.453 | 68.2 |
| 15 | 0.173 | 77.6 |
| 16 | 0.259 | 58.7 |
| 17 | 0.373 | 69.6 |
| 18 | 0.694 | 68.6 |
| 19 | 0.191 | 57.0 |
| 20 | 0.372 | 57.4 |
| 21 | 0.176 | 56.5 |
| 22 | 0.374 | 67.9 |
| 23 | 0.353 | 77.5 |
| 24 | 0.463 | 58.0 |
| 25 | 0.400 | 73.2 |
| 26 | 0.211 | 57.0 |
| 27 | 0.884 | 75.5 |
| 28 | 0.499 | 69.6 |
| 29 | 0.522 | 68.4 |
| 30 | 0.333 | 72.2 |